VASP calculation (PBE) on a relaxed structure of NaSnBr2.

Unit cell a=9.5532 b=9.5532 c=9.5532 alpha=23.91 beta=23.91 gamma=23.91
Sites, in units of the cell vectors:
Na: 0.5000 0.5000 0.5000
Sn: 0.0000 0.0000 0.0000
Br: 0.8979 0.8979 0.8979
Br: 0.1021 0.1021 0.1021

- calculated volume (Å³ per cell) = 125.8
- E_form (uncorrected) (eV per formula unit) = -3.37
- symmetry = R-3m (166)
- energy above the lowest structure with this stoichiometry (eV per atom) = 0.000
- electronic total energy (eV per atom) = -3.009
- total magnetization (μB per atom) = 0.0000